Material: TlAuSe2
Method: DFT, PBE-GGA
State: optimized geometry

The space group is C2/c (No. 15) and the conventional cell measures 5.9058, 12.2518 and 5.9973 Å, with angles of 90.00, 100.19 and 90.00 degrees. The inequivalent atoms are Tl at (0.0000, 0.1114, 0.2500), Au at (0.0000, 0.2547, 0.7500) and Se at (0.1416, 0.3758, 0.1179).

As for the formation energy without anion corrections: -83 meV/atom. The electronic total energy is -3.24 eV per atom. As for the density of states at the Fermi level: 0.26 states/eV/atom. The value obtained for the size of the total moment is 0.000 μB/cell.